P.
Entry from the Alexandria database: an optimized crystal structure of MnZn2Cl (GGA-PBEsol).

Results
**N(E_F)**: 1.87 states/eV/f.u.
**Spin magnetization**: 3.837 μB per formula unit

Cell lengths 2.871, 4.160, 5.939 Å; angles 109.35, 103.99, 90.00 degrees
Sites, in units of the cell vectors:
Zn  0.781  0.779  0.561
Zn  0.219  0.221  0.439
Mn  0.500  0.000  0.000
Cl  0.000  0.500  0.000


Q.
Entry from the Alexandria database: an optimized crystal structure of MnZn2Cl (GGA-PBEsol).

Results
**N(E_F)**: 1.28 states/eV/f.u.
**Spin magnetization**: 3.932 μB per formula unit

Cell lengths 3.837, 3.837, 5.140 Å; angles 111.91, 111.91, 90.00 degrees
Sites, in units of the cell vectors:
Zn  0.000  0.000  0.000
Zn  0.750  0.250  0.500
Mn  0.250  0.750  0.500
Cl  0.500  0.500  0.000


R.
Entry from the Alexandria database: an optimized crystal structure of MnZn2Cl (GGA-PBEsol).

Results
**N(E_F)**: 3.09 states/eV/f.u.
**Spin magnetization**: 4.861 μB per formula unit

Cell lengths 4.712, 4.712, 4.712 Å; angles 60.00, 60.00, 60.00 degrees
Sites, in units of the cell vectors:
Zn  0.250  0.250  0.250
Zn  0.750  0.750  0.750
Mn  0.500  0.500  0.500
Cl  0.000  0.000  0.000


Most stable: P. Least stable: R.


P.
Entry from the Alexandria database: an optimized crystal structure of Mn2ZnCl (GGA-PBEsol).

Results
**N(E_F)**: 3.18 states/eV/f.u.
**Spin magnetization**: 7.565 μB per formula unit

Cell lengths 2.866, 4.583, 4.583 Å; angles 90.00, 90.00, 90.00 degrees
Sites, in units of the cell vectors:
Zn  0.500  0.500  0.500
Mn  0.000  0.000  0.500
Mn  0.000  0.500  0.000
Cl  0.500  0.000  0.000


Q.
Entry from the Alexandria database: an optimized crystal structure of Mn2ZnCl (GGA-PBEsol).

Results
**N(E_F)**: 2.51 states/eV/f.u.
**Spin magnetization**: 0.399 μB per formula unit

Cell lengths 4.384, 4.384, 4.384 Å; angles 60.00, 60.00, 60.00 degrees
Sites, in units of the cell vectors:
Zn  0.250  0.250  0.250
Mn  0.000  0.000  0.000
Mn  0.750  0.750  0.750
Cl  0.500  0.500  0.500


Most stable: P. Least stable: Q.


P.
Entry from the Alexandria database: an optimized crystal structure of ZrMnCl2 (GGA-PBEsol).

Results
**N(E_F)**: 2.01 states/eV/f.u.
**Spin magnetization**: 4.609 μB per formula unit

Cell lengths 3.167, 3.167, 9.740 Å; angles 80.64, 80.64, 60.00 degrees
Sites, in units of the cell vectors:
Mn  0.500  0.500  0.500
Zr  0.000  0.000  0.000
Cl  0.269  0.269  0.193
Cl  0.731  0.731  0.807


Q.
Entry from the Alexandria database: an optimized crystal structure of ZrMnCl2 (GGA-PBEsol).

Results
**N(E_F)**: 2.58 states/eV/f.u.
**Spin magnetization**: 3.751 μB per formula unit

Cell lengths 4.215, 4.215, 4.756 Å; angles 116.30, 116.30, 90.00 degrees
Sites, in units of the cell vectors:
Mn  0.500  0.500  0.000
Zr  0.000  0.000  0.000
Cl  0.750  0.250  0.500
Cl  0.250  0.750  0.500


R.
Entry from the Alexandria database: an optimized crystal structure of ZrMnCl2 (GGA-PBEsol).

Results
**N(E_F)**: 1.17 states/eV/f.u.
**Spin magnetization**: 3.213 μB per formula unit

Cell lengths 3.311, 3.311, 8.790 Å; angles 79.14, 79.14, 60.00 degrees
Sites, in units of the cell vectors:
Mn  0.498  0.498  0.507
Zr  0.248  0.248  0.256
Cl  0.982  0.982  0.054
Cl  0.772  0.772  0.683


S.
Entry from the Alexandria database: an optimized crystal structure of ZrMnCl2 (GGA-PBEsol).

Results
**N(E_F)**: 2.47 states/eV/f.u.
**Spin magnetization**: 4.458 μB per formula unit

Cell lengths 3.086, 3.086, 9.109 Å; angles 90.00, 90.00, 90.00 degrees
Sites, in units of the cell vectors:
Mn  0.500  0.500  0.000
Zr  0.500  0.500  0.500
Cl  0.000  0.000  0.669
Cl  0.000  0.000  0.331


Most stable: R. Least stable: Q.


P.
Entry from the Alexandria database: an optimized crystal structure of Mo2Cl (GGA-PBEsol).

Results
**N(E_F)**: 3.59 states/eV/f.u.
**Spin magnetization**: 0.001 μB per formula unit

Cell lengths 2.867, 2.867, 6.324 Å; angles 90.00, 90.00, 120.00 degrees
Sites, in units of the cell vectors:
Mo  0.667  0.333  0.326
Mo  0.333  0.667  0.674
Cl  0.000  0.000  0.000


Q.
Entry from the Alexandria database: an optimized crystal structure of Mo2Cl (GGA-PBEsol).

Results
**N(E_F)**: 0.96 states/eV/f.u.
**Spin magnetization**: 0.000 μB per formula unit

Cell lengths 3.113, 5.829, 6.471 Å; angles 110.52, 90.00, 105.49 degrees
Sites, in units of the cell vectors:
Cl  0.064  0.127  0.952
Cl  0.321  0.643  0.939
Mo  0.741  0.482  0.251
Mo  0.505  0.011  0.286
Mo  0.970  0.940  0.543
Mo  0.232  0.463  0.529


Most stable: Q. Least stable: P.


P.
Entry from the Alexandria database: an optimized crystal structure of MoCl5 (GGA-PBEsol).

Results
**N(E_F)**: 4.01 states/eV/f.u.
**Spin magnetization**: 1.008 μB per formula unit

Cell lengths 6.136, 6.611, 8.976 Å; angles 108.70, 90.00, 116.49 degrees
Sites, in units of the cell vectors:
Mo  0.897  0.285  0.281
Mo  0.103  0.715  0.719
Cl  0.238  0.685  0.455
Cl  0.762  0.315  0.545
Cl  0.121  0.125  0.351
Cl  0.879  0.875  0.649
Cl  0.698  0.495  0.259
Cl  0.302  0.505  0.741
Cl  0.565  0.926  0.162
Cl  0.435  0.074  0.838
Cl  0.075  0.320  0.067
Cl  0.925  0.680  0.933


Q.
Entry from the Alexandria database: an optimized crystal structure of MoCl5 (GGA-PBEsol).

Results
**N(E_F)**: 3.48 states/eV/f.u.
**Spin magnetization**: 0.004 μB per formula unit

Cell lengths 2.876, 7.652, 7.652 Å; angles 120.00, 90.00, 90.00 degrees
Sites, in units of the cell vectors:
Mo  0.500  0.000  0.000
Cl  0.000  0.242  0.242
Cl  0.000  0.758  0.000
Cl  0.000  0.000  0.758
Cl  0.500  0.333  0.667
Cl  0.500  0.667  0.333


Most stable: P. Least stable: Q.


P.
Entry from the Alexandria database: an optimized crystal structure of MoNCl3 (GGA-PBEsol).

Results
**N(E_F)**: 0.00 states/eV/f.u.
**Spin magnetization**: 0.000 μB per formula unit

Cell lengths 8.159, 8.113, 9.068 Å; angles 98.56, 109.38, 109.77 degrees
Sites, in units of the cell vectors:
Mo  0.626  0.859  0.629
Mo  0.374  0.141  0.371
Mo  0.492  0.446  0.776
Mo  0.508  0.554  0.224
N  0.562  0.674  0.695
N  0.438  0.326  0.305
N  0.452  0.290  0.609
N  0.548  0.710  0.391
Cl  0.183  0.442  0.094
Cl  0.817  0.558  0.906
Cl  0.565  0.732  0.053
Cl  0.435  0.268  0.947
Cl  0.801  0.548  0.308
Cl  0.199  0.452  0.692
Cl  0.076  0.105  0.341
Cl  0.924  0.895  0.659
Cl  0.277  0.913  0.142
Cl  0.723  0.087  0.858
Cl  0.684  0.145  0.482
Cl  0.316  0.855  0.518


Q.
Entry from the Alexandria database: an optimized crystal structure of MoNCl3 (GGA-PBEsol).

Results
**N(E_F)**: 3.97 states/eV/f.u.
**Spin magnetization**: 4.042 μB per formula unit

Cell lengths 4.714, 4.714, 4.714 Å; angles 90.00, 90.00, 90.00 degrees
Sites, in units of the cell vectors:
Mo  0.000  0.000  0.000
N  0.500  0.500  0.500
Cl  0.000  0.500  0.000
Cl  0.000  0.000  0.500
Cl  0.500  0.000  0.000


Most stable: P. Least stable: Q.


P.
Entry from the Alexandria database: an optimized crystal structure of Mo2OsCl (GGA-PBEsol).

Results
**N(E_F)**: 3.04 states/eV/f.u.
**Spin magnetization**: 0.000 μB per formula unit

Cell lengths 2.837, 4.890, 4.890 Å; angles 114.91, 98.78, 98.78 degrees
Sites, in units of the cell vectors:
Mo  0.000  0.500  0.000
Mo  0.000  0.000  0.500
Os  0.500  0.000  0.000
Cl  0.500  0.500  0.500


Q.
Entry from the Alexandria database: an optimized crystal structure of Mo2OsCl (GGA-PBEsol).

Results
**N(E_F)**: 5.40 states/eV/f.u.
**Spin magnetization**: 0.001 μB per formula unit

Cell lengths 3.665, 3.665, 5.157 Å; angles 110.82, 110.82, 90.00 degrees
Sites, in units of the cell vectors:
Mo  0.000  0.000  0.000
Mo  0.750  0.250  0.500
Os  0.500  0.500  0.000
Cl  0.250  0.750  0.500


Most stable: P. Least stable: Q.


P.
Entry from the Alexandria database: an optimized crystal structure of MoP2SeCl (GGA-PBEsol).

Results
**N(E_F)**: 3.01 states/eV/f.u.
**Spin magnetization**: 2.988 μB per formula unit

Cell lengths 4.639, 4.717, 4.717 Å; angles 90.00, 90.00, 90.00 degrees
Sites, in units of the cell vectors:
P  0.000  0.000  0.500
P  0.000  0.500  0.000
Mo  0.500  0.500  0.500
Se  0.000  0.000  0.000
Cl  0.500  0.000  0.000


Q.
Entry from the Alexandria database: an optimized crystal structure of MoP2SeCl (GGA-PBEsol).

Results
**N(E_F)**: 3.95 states/eV/f.u.
**Spin magnetization**: 0.000 μB per formula unit

Cell lengths 4.488, 4.728, 4.728 Å; angles 90.00, 90.00, 90.00 degrees
Sites, in units of the cell vectors:
P  0.000  0.000  0.500
P  0.000  0.500  0.000
Mo  0.000  0.000  0.000
Se  0.500  0.500  0.500
Cl  0.500  0.000  0.000


Most stable: Q. Least stable: P.